DFT (PBE-GGA) results for Sc2Si4Pt3Au after structural relaxation.

The value obtained for the total energy is -6.3997 eV per atom. As for the uncorrected formation energy: -824 meV/atom.

The space group is P-4m2 (No. 115) and the conventional cell measures 4.1217, 4.1217 and 9.9753 Å, with angles of 90.00, 90.00 and 90.00 degrees. The inequivalent atoms are Sc at (0.0000, 0.5000, 0.2487), Si at (0.0000, 0.0000, 0.0000), Si at (0.0000, 0.5000, 0.6414), Si at (0.5000, 0.5000, 0.0000), Pt at (0.0000, 0.5000, 0.8748), Pt at (0.5000, 0.5000, 0.5000) and Au at (0.0000, 0.0000, 0.5000).

=====

DFT (PBE-GGA) results for Zn4Cu3Au after structural relaxation.

The value obtained for the total energy is -2.5217 eV per atom. The value obtained for the calculated formation energy is 61 meV per atom.

The space group is C2/m (No. 12) and the conventional cell measures 21.8391, 2.7454 and 4.3897 Å, with angles of 90.00, 95.62 and 90.00 degrees. The inequivalent atoms are Zn at (0.1007, 0.0000, 0.2375), Zn at (0.1924, 0.5000, 0.5553), Cu at (0.0000, 0.0000, 0.5000), Cu at (0.2042, 0.0000, 0.0552) and Au at (0.0000, 0.5000, 0.0000).